# SiNiRu PBE relaxed
# * uncorrected formation energy: -336 meV/atom
# * theoretical density: 8.44 g/cm³
# * total energy: -7.16 eV per atom
# * spin magnetization: 0.001 μB per atom
# * density of states at the Fermi level: 5.15 states/eV/f.u.
data_SiNiRu
_cell_length_a 3.9244
_cell_length_b 3.9244
_cell_length_c 2.7695
_cell_angle_alpha 90.00
_cell_angle_beta 90.00
_cell_angle_gamma 120.00
_symmetry_space_group_name_H-M 'P -6 m 2'
_symmetry_Int_Tables_number 187
_symmetry_space_group_name_Hall 'P -6 2'
loop_
_atom_site_label
_atom_site_fract_x
_atom_site_fract_y
_atom_site_fract_z
Si1 0.0000 0.0000 0.0000
Ni1 0.6667 0.3333 0.0000
Ru1 0.3333 0.6667 0.5000